! Ac3NdSe6, optimized geometry, DFT GGA-PBE; values from VASP
! V = 668.7 Å³/cell
! E = -114.793 eV for the cell shown
&SYSTEM
  ibrav = 0, nat = 20, ntyp = 3
/
ATOMIC_SPECIES
Ac 227.00 Ac.upf
Se 78.96 Se.upf
Nd 144.24 Nd.upf
CELL_PARAMETERS angstrom
-4.268 -3.994 -4.599
6.624 -2.596 -3.893
0.797 -8.528 7.043
ATOMIC_POSITIONS angstrom
Ac 0.398 -4.264 3.521
Se 4.295 -6.995 -1.691
Se -1.142 -8.123 0.242
Se -0.975 -11.058 2.600
Ac 1.178 -3.295 -4.246
Se 2.779 -7.870 -5.819
Nd 1.576 -7.559 -0.725
Ac -0.799 -11.320 -0.715
Se 1.522 -9.980 -2.317
Se 1.781 -12.952 -0.011
Nd 0.000 0.000 0.000
Se 2.861 -9.177 1.442
Ac 3.951 -3.798 -0.734
Se 0.291 -5.941 -2.891
Se 1.630 -5.138 0.868
Ac -1.166 -4.235 -0.701
Se 4.127 -4.060 -4.049
Se 0.373 -7.248 4.370
Se 1.371 -2.167 -1.438
Ac 4.318 -10.883 -0.748



! Ac2Nd2Se7, optimized geometry, DFT GGA-PBE; values from VASP
! V = 358.4 Å³/cell
! E = -59.464 eV for the cell shown
&SYSTEM
  ibrav = 0, nat = 11, ntyp = 3
/
ATOMIC_SPECIES
Ac 227.00 Ac.upf
Se 78.96 Se.upf
Nd 144.24 Nd.upf
CELL_PARAMETERS angstrom
-5.048 4.976 -2.514
-1.852 -4.134 -4.462
-4.676 -3.226 4.928
ATOMIC_POSITIONS angstrom
Ac -3.346 -1.632 -1.630
Se -3.714 -4.684 -0.855
Se -7.862 2.300 -1.193
Se -2.998 1.425 -2.400
Se 0.000 0.000 0.000
Se -6.262 -2.248 -2.167
Ac -8.230 -0.753 -0.418
Nd -6.800 -1.365 -4.974
Se -5.314 -0.137 0.119
Nd -4.776 -1.019 2.926
Se -8.578 -3.809 0.352



! Ac2NdSe, optimized geometry, DFT GGA-PBE; values from VASP
! V = 152.8 Å³/cell
! E = -19.502 eV for the cell shown
&SYSTEM
  ibrav = 0, nat = 4, ntyp = 3
/
ATOMIC_SPECIES
Nd 144.24 Nd.upf
Ac 227.00 Ac.upf
Se 78.96 Se.upf
CELL_PARAMETERS angstrom
4.098 0.000 0.000
2.049 3.549 0.000
2.049 1.183 10.509
ATOMIC_POSITIONS angstrom
Nd 4.098 2.366 5.254
Ac 6.146 3.549 8.377
Se 0.000 0.000 0.000
Ac 2.049 1.183 2.132



! AcNd2Se5, optimized geometry, DFT GGA-PBE; values from VASP
! V = 429.0 Å³/cell
! E = -90.060 eV for the cell shown
&SYSTEM
  ibrav = 0, nat = 16, ntyp = 3
/
ATOMIC_SPECIES
Se 78.96 Se.upf
Nd 144.24 Nd.upf
Ac 227.00 Ac.upf
CELL_PARAMETERS angstrom
-0.218 7.676 2.072
-4.438 1.603 -6.403
-3.295 -5.775 5.779
ATOMIC_POSITIONS angstrom
Se -2.411 -2.527 4.483
Nd -3.820 3.992 -4.691
Se -4.556 1.876 -2.808
Se -3.395 1.628 4.257
Se -2.328 4.639 -2.165
Se 0.000 0.000 0.000
Ac -5.140 4.072 -0.359
Nd -0.836 5.287 0.360
Nd -1.560 1.750 -1.878
Se -2.380 2.589 0.802
Nd -3.096 7.529 -2.453
Ac -2.812 -0.568 1.807
Se -3.365 6.743 0.575
Se -4.587 -3.239 0.873
Se -5.541 6.031 -3.035
Se -5.571 0.915 0.646



! Ac3NdSe6, optimized geometry, DFT GGA-PBE; values from VASP
! V = 729.7 Å³/cell
! E = -115.396 eV for the cell shown
&SYSTEM
  ibrav = 0, nat = 20, ntyp = 3
/
ATOMIC_SPECIES
Nd 144.24 Nd.upf
Se 78.96 Se.upf
Ac 227.00 Ac.upf
CELL_PARAMETERS angstrom
9.004 -0.034 -0.229
-0.234 9.001 -0.229
-0.033 -0.034 9.007
ATOMIC_POSITIONS angstrom
Nd 0.000 0.000 0.000
Se 8.161 6.182 0.408
Se 6.168 0.722 8.150
Ac 5.091 0.664 2.103
Ac 6.621 3.828 8.043
Ac 2.115 5.104 0.505
Se 4.752 3.677 1.475
Nd 4.368 4.466 4.274
Ac 8.121 6.705 3.505
Ac 0.615 2.228 5.044
Se 8.198 0.636 2.559
Se 0.538 8.296 5.990
Se 5.095 7.274 3.830
Se 1.552 4.833 3.538
Se 3.641 1.659 4.719
Se 0.576 2.750 8.141
Se 3.984 5.255 7.074
Se 7.184 4.100 5.011
Ac 3.645 8.268 6.445
Se 2.568 8.210 0.399



! AcNd3Se6, optimized geometry, DFT GGA-PBE; values from VASP
! V = 606.3 Å³/cell
! E = -117.238 eV for the cell shown
&SYSTEM
  ibrav = 0, nat = 20, ntyp = 3
/
ATOMIC_SPECIES
Se 78.96 Se.upf
Nd 144.24 Nd.upf
Ac 227.00 Ac.upf
CELL_PARAMETERS angstrom
4.333 0.000 0.000
0.000 11.338 -3.890
0.000 0.038 12.327
ATOMIC_POSITIONS angstrom
Se 1.083 6.910 9.268
Nd 3.250 1.818 0.451
Nd 1.083 3.651 4.906
Ac 3.250 0.591 8.365
Nd 1.083 6.322 -0.106
Nd 1.083 9.559 7.986
Se 3.250 8.339 0.489
Se 1.083 2.231 2.315
Se 3.250 10.383 -2.401
Se 3.250 5.474 5.673
Se 3.250 9.146 6.122
Se 3.250 4.467 -0.831
Se 1.083 0.993 10.837
Nd 3.250 7.725 3.531
Ac 1.083 10.786 0.072
Se 1.083 3.037 7.947
Se 1.083 10.004 3.182
Se 1.083 5.903 2.764
Se 3.250 1.373 5.254
Nd 3.250 5.055 8.542



! AcNdSe2, optimized geometry, DFT GGA-PBE; values from VASP
! V = 118.0 Å³/cell
! E = -23.021 eV for the cell shown
&SYSTEM
  ibrav = 0, nat = 4, ntyp = 3
/
ATOMIC_SPECIES
Se 78.96 Se.upf
Nd 144.24 Nd.upf
Ac 227.00 Ac.upf
CELL_PARAMETERS angstrom
4.233 0.000 0.000
2.116 3.666 0.000
2.116 1.222 7.602
ATOMIC_POSITIONS angstrom
Se 2.116 1.222 5.612
Nd 4.233 2.444 3.921
Se 2.116 1.222 1.985
Ac 6.349 3.666 7.487



! AcNdSe, optimized geometry, DFT GGA-PBE; values from VASP
! V = 202.7 Å³/cell
! E = -31.154 eV for the cell shown
&SYSTEM
  ibrav = 0, nat = 6, ntyp = 3
/
ATOMIC_SPECIES
Se 78.96 Se.upf
Ac 227.00 Ac.upf
Nd 144.24 Nd.upf
CELL_PARAMETERS angstrom
-2.505 -2.813 -1.430
2.461 -0.866 3.071
-10.127 4.280 9.323
ATOMIC_POSITIONS angstrom
Se -3.543 1.497 3.262
Ac 0.000 0.000 0.000
Nd -7.157 1.850 8.901
Se -6.584 2.783 6.061
Nd -1.359 -0.601 3.563
Ac -4.258 0.625 6.232



! Ac5NdSe6, optimized geometry, DFT GGA-PBE; values from VASP
! V = 368.3 Å³/cell
! E = -68.524 eV for the cell shown
&SYSTEM
  ibrav = 0, nat = 12, ntyp = 3
/
ATOMIC_SPECIES
Se 78.96 Se.upf
Nd 144.24 Nd.upf
Ac 227.00 Ac.upf
CELL_PARAMETERS angstrom
7.546 -0.130 -1.424
-4.088 6.344 -1.424
0.142 0.255 7.663
ATOMIC_POSITIONS angstrom
Se 2.654 4.770 -0.259
Se -1.019 2.631 1.173
Nd 0.000 0.000 0.000
Ac 5.649 1.092 2.408
Ac -0.200 4.180 -1.424
Se 4.619 3.837 3.643
Se 0.827 5.948 3.643
Se 2.773 0.521 1.173
Ac 1.800 3.234 2.408
Ac 3.658 2.033 -1.424
Ac -2.049 5.376 2.408
Se 0.946 1.699 5.075



! Ac3Nd2SmSe6, optimized geometry, DFT GGA-PBE; values from VASP
! V = 346.1 Å³/cell
! E = -69.631 eV for the cell shown
&SYSTEM
  ibrav = 0, nat = 12, ntyp = 4
/
ATOMIC_SPECIES
Sm 150.36 Sm.upf
Se 78.96 Se.upf
Nd 144.24 Nd.upf
Ac 227.00 Ac.upf
CELL_PARAMETERS angstrom
-2.424 3.566 6.124
3.140 -6.775 0.585
6.170 4.112 -1.479
ATOMIC_POSITIONS angstrom
Sm 0.000 0.000 0.000
Se 2.528 -1.528 0.368
Nd 1.284 -3.326 2.432
Se 6.195 -0.983 3.033
Se 1.983 -1.436 4.672
Ac 1.597 3.884 4.453
Se 4.358 2.432 4.862
Ac 3.443 0.452 2.615
Se 0.691 1.887 2.197
Nd -0.569 0.118 4.277
Se 4.904 2.339 0.558
Ac 5.290 -2.980 0.777



! Ac4NdSm3Se8, optimized geometry, DFT GGA-PBE; values from VASP
! V = 458.0 Å³/cell
! E = -92.585 eV for the cell shown
&SYSTEM
  ibrav = 0, nat = 16, ntyp = 4
/
ATOMIC_SPECIES
Ac 227.00 Ac.upf
Se 78.96 Se.upf
Sm 150.36 Sm.upf
Nd 144.24 Nd.upf
CELL_PARAMETERS angstrom
-3.595 0.579 -7.804
-7.769 -1.842 3.442
4.597 6.579 3.122
ATOMIC_POSITIONS angstrom
Ac -1.798 0.290 -3.902
Se -6.104 2.286 -1.770
Ac 0.000 0.000 0.000
Ac 2.299 3.289 1.561
Se -0.663 3.030 0.530
Se -4.309 2.019 2.135
Se -4.738 0.033 -4.924
Sm -3.383 2.658 -0.620
Sm -1.586 2.368 3.282
Sm -5.682 -0.632 -2.181
Ac 0.501 3.579 -2.341
Se -2.029 5.283 3.685
Se -2.458 3.296 -3.375
Se -3.813 5.570 -0.188
Se -2.954 -0.255 -1.052
Nd -3.884 -0.921 1.721



! AcNdSm2Se4, optimized geometry, DFT GGA-PBE; values from VASP
! V = 219.1 Å³/cell
! E = -46.829 eV for the cell shown
&SYSTEM
  ibrav = 0, nat = 8, ntyp = 4
/
ATOMIC_SPECIES
Sm 150.36 Sm.upf
Nd 144.24 Nd.upf
Se 78.96 Se.upf
Ac 227.00 Ac.upf
CELL_PARAMETERS angstrom
-2.828 -2.281 -2.116
3.398 -6.287 2.234
-2.993 -2.182 6.352
ATOMIC_POSITIONS angstrom
Sm -2.993 -2.182 6.352
Nd 0.203 -4.234 4.293
Se 0.390 -6.424 6.402
Se -2.837 -4.278 4.226
Ac -2.708 -6.466 6.411
Se 0.414 -6.471 2.244
Sm -2.910 -2.231 2.118
Se -2.813 -4.326 0.068



! AcNd2Sm3Se6, optimized geometry, DFT GGA-PBE; values from VASP
! V = 323.9 Å³/cell
! E = -70.625 eV for the cell shown
&SYSTEM
  ibrav = 0, nat = 12, ntyp = 4
/
ATOMIC_SPECIES
Se 78.96 Se.upf
Nd 144.24 Nd.upf
Sm 150.36 Sm.upf
Ac 227.00 Ac.upf
CELL_PARAMETERS angstrom
-5.842 0.904 4.350
1.595 -6.628 -2.721
5.371 0.583 5.029
ATOMIC_POSITIONS angstrom
Se 2.081 -5.099 3.721
Se -0.956 -0.041 2.937
Nd -0.875 -4.125 -0.372
Se -1.780 -4.111 2.507
Se -0.450 -2.536 6.127
Nd -3.371 -1.598 2.001
Sm 0.562 -2.570 3.329
Sm -1.936 -0.040 5.704
Se 1.574 -2.604 0.531
Ac 0.000 0.000 0.000
Sm 3.060 -5.100 0.954
Se 2.904 -1.029 4.151



! AcNd4SmSe8, optimized geometry, DFT GGA-PBE; values from VASP
! V = 476.3 Å³/cell
! E = -80.116 eV for the cell shown
&SYSTEM
  ibrav = 0, nat = 14, ntyp = 4
/
ATOMIC_SPECIES
Nd 144.24 Nd.upf
Ac 227.00 Ac.upf
Se 78.96 Se.upf
Sm 150.36 Sm.upf
CELL_PARAMETERS angstrom
-7.360 3.929 2.724
-7.817 -3.106 -2.504
-5.207 -3.977 5.807
ATOMIC_POSITIONS angstrom
Nd -14.121 -3.090 1.773
Ac -10.247 -3.167 5.158
Se -7.435 -2.751 4.352
Se -8.934 -2.467 0.189
Sm -15.179 0.799 0.251
Se -5.102 -0.944 1.717
Nd -13.896 0.366 4.342
Se -15.286 -2.288 4.415
Se -11.498 -0.582 5.856
Se -11.750 -4.466 2.970
Nd -10.137 0.007 0.877
Se -8.691 1.268 2.965
Se -12.842 -0.381 1.636
Nd -17.737 -1.160 3.111



! AcNd4Sm3Se8, optimized geometry, DFT GGA-PBE; values from VASP
! V = 432.1 Å³/cell
! E = -94.312 eV for the cell shown
&SYSTEM
  ibrav = 0, nat = 16, ntyp = 4
/
ATOMIC_SPECIES
Sm 150.36 Sm.upf
Ac 227.00 Ac.upf
Nd 144.24 Nd.upf
Se 78.96 Se.upf
CELL_PARAMETERS angstrom
-4.204 -7.355 -0.533
6.970 -3.764 -3.039
0.308 4.188 7.377
ATOMIC_POSITIONS angstrom
Sm 1.537 -3.465 1.903
Ac 3.485 -1.882 -1.520
Nd -1.948 -1.583 3.422
Nd 0.000 0.000 0.000
Se 2.424 -4.108 4.672
Nd 0.154 2.094 3.689
Se 2.197 -6.226 1.000
Sm 3.639 0.212 2.169
Se -1.396 -6.402 -1.126
Nd -2.102 -3.677 -0.266
Se -1.245 -4.365 2.466
Sm 1.383 -5.559 -1.786
Se 4.319 -2.565 1.339
Se 0.877 -0.704 2.806
Se 0.650 -2.823 -0.866
Se 4.470 -0.528 4.931



! Sr2AcNdSe4, optimized geometry, DFT GGA-PBE; values from VASP
! V = 239.6 Å³/cell
! E = -41.565 eV for the cell shown
&SYSTEM
  ibrav = 0, nat = 8, ntyp = 4
/
ATOMIC_SPECIES
Nd 144.24 Nd.upf
Se 78.96 Se.upf
Sr 87.62 Sr.upf
Ac 227.00 Ac.upf
CELL_PARAMETERS angstrom
-4.246 -0.873 0.520
1.564 -3.857 6.304
-1.291 7.361 1.809
ATOMIC_POSITIONS angstrom
Nd 0.000 0.000 0.000
Se -2.061 0.436 2.229
Se 0.861 -1.079 5.226
Se -1.912 2.195 6.404
Sr -2.769 3.244 1.164
Se -0.588 4.582 2.887
Ac -1.341 -2.365 3.412
Sr 0.137 1.752 4.057



! Sr3AcNd2Se6, optimized geometry, DFT GGA-PBE; values from VASP
! V = 354.0 Å³/cell
! E = -62.669 eV for the cell shown
&SYSTEM
  ibrav = 0, nat = 12, ntyp = 4
/
ATOMIC_SPECIES
Se 78.96 Se.upf
Nd 144.24 Nd.upf
Sr 87.62 Sr.upf
Ac 227.00 Ac.upf
CELL_PARAMETERS angstrom
7.516 0.002 0.000
-3.754 6.511 0.000
-1.255 -2.173 7.234
ATOMIC_POSITIONS angstrom
Se 2.479 4.293 1.771
Se 0.027 0.047 5.463
Nd 3.757 2.173 0.000
Se -1.281 2.219 1.778
Nd 0.004 4.340 0.000
Sr 1.253 2.170 3.617
Se 2.562 0.000 1.778
Sr 5.028 -0.010 3.617
Se 3.787 2.121 5.455
Ac 0.000 0.000 0.000
Sr -2.521 4.350 3.617
Se -0.056 4.340 5.455



! Sr3Ac2NdSe6, optimized geometry, DFT GGA-PBE; values from VASP
! V = 364.6 Å³/cell
! E = -62.090 eV for the cell shown
&SYSTEM
  ibrav = 0, nat = 12, ntyp = 4
/
ATOMIC_SPECIES
Se 78.96 Se.upf
Nd 144.24 Nd.upf
Sr 87.62 Sr.upf
Ac 227.00 Ac.upf
CELL_PARAMETERS angstrom
4.387 0.000 0.000
0.000 8.872 0.231
-2.194 -2.647 9.300
ATOMIC_POSITIONS angstrom
Se 2.194 4.302 3.239
Se 0.000 1.923 6.291
Nd 2.194 0.000 0.000
Se 0.000 6.413 6.456
Sr 2.194 -0.293 6.237
Ac 0.000 2.033 3.112
Se 0.000 6.706 0.220
Se 2.194 -0.188 3.075
Ac 2.194 4.192 6.418
Se 2.194 -0.481 9.310
Sr 2.194 4.436 0.115
Sr 0.000 6.518 3.293



! SrAc3Nd2Se6, optimized geometry, DFT GGA-PBE; values from VASP
! V = 356.1 Å³/cell
! E = -66.890 eV for the cell shown
&SYSTEM
  ibrav = 0, nat = 12, ntyp = 4
/
ATOMIC_SPECIES
Se 78.96 Se.upf
Nd 144.24 Nd.upf
Ac 227.00 Ac.upf
Sr 87.62 Sr.upf
CELL_PARAMETERS angstrom
7.579 -0.005 0.003
-3.792 6.563 0.003
-1.260 -2.182 7.160
ATOMIC_POSITIONS angstrom
Se 2.546 -0.001 1.712
Se -1.273 2.205 1.712
Nd -0.008 4.378 0.003
Ac -2.541 4.385 3.583
Ac 1.264 2.188 3.583
Sr 0.000 0.000 0.000
Ac 5.068 -0.010 3.583
Se 2.515 4.355 1.690
Nd 3.796 2.180 0.003
Se 0.012 0.020 5.476
Se 3.800 2.171 5.453
Se -0.019 4.376 5.453



! SrAcNd2Se4, optimized geometry, DFT GGA-PBE; values from VASP
! V = 230.5 Å³/cell
! E = -44.310 eV for the cell shown
&SYSTEM
  ibrav = 0, nat = 8, ntyp = 4
/
ATOMIC_SPECIES
Sr 87.62 Sr.upf
Se 78.96 Se.upf
Nd 144.24 Nd.upf
Ac 227.00 Ac.upf
CELL_PARAMETERS angstrom
-4.178 -0.237 -1.024
1.585 -5.148 -5.279
-0.361 -6.845 3.061
ATOMIC_POSITIONS angstrom
Sr 0.612 -5.997 -1.109
Se -3.893 -3.230 -1.495
Nd -0.361 -6.845 3.061
Se -0.975 -5.737 -3.759
Se 0.939 -9.001 -1.746
Ac -1.658 -9.538 -0.090
Se -1.979 -6.494 0.517
Nd -2.270 -3.541 1.019